No. 1
VASP calculation (PBE) on HfCu4Tc2 after structural relaxation.

Structure (POSCAR):
```
HfCu4Tc2
1.0
4.644 0.000 0.000
0.000 4.644 0.000
2.322 2.322 6.251
Tc Hf Cu
2 1 4
Direct
0.405 0.405 0.190
0.595 0.595 0.810
0.000 0.000 0.000
0.205 0.205 0.589
0.000 0.500 0.000
0.795 0.795 0.411
0.500 0.000 0.000
```

## Properties
E_form ... 872.7 kJ/mol of formula units
V ... 135 Å³/f.u.
DOS(E_F) ... 6.9 states/eV/f.u.
Total moment ... 0.0 μB/cell

No. 2
VASP calculation (PBE) on K2PmCd2Se4 after structural relaxation.

Structure (POSCAR):
```
K2PmCd2Se4
1.0
-3.387 2.554 0.144
-4.576 -6.246 3.136
5.472 3.407 5.739
Se K Cd Pm
4 2 2 1
Direct
0.808 0.771 0.616
0.192 0.229 0.384
0.523 0.770 0.046
0.477 0.230 0.954
0.874 0.440 0.748
0.126 0.560 0.252
0.688 0.017 0.376
0.312 0.983 0.624
0.000 0.000 0.000
```

## Properties
Raw formation energy ... -1.09 eV per atom
V ... 271 Å³/f.u.
DOS(E_F) ... 3.5 states/eV/f.u.
Total moment ... 0.0 μB/cell

No. 3
VASP calculation (PBE) on SnAsOsSe2 after structural relaxation.

Structure (POSCAR):
```
SnAsOsSe2
1.0
5.141 0.000 0.000
0.000 5.141 0.000
0.000 0.000 4.608
Os Se Sn As
1 2 1 1
Direct
0.000 0.000 0.000
0.000 0.500 0.000
0.500 0.000 0.000
0.500 0.500 0.500
0.000 0.000 0.500
```

## Properties
Raw formation energy ... 0.46 eV per atom
Offset from the most stable computed form ... 0.000 eV/f.u.
V ... 122 Å³/f.u.
DOS(E_F) ... 6.7 states/eV/f.u.
Total moment ... 0.0 μB/cell

No. 4
VASP calculation (PBE) on Cs6TeAu2I3 after structural relaxation.

Structure (POSCAR):
```
Cs6TeAu2I3
1.0
5.369 0.000 0.000
0.000 11.102 0.479
-2.684 -3.110 11.468
Au I Cs Te
2 3 6 1
Direct
0.831 0.662 0.662
0.169 0.338 0.338
0.500 0.500 0.000
0.836 0.166 0.672
0.164 0.834 0.328
0.669 0.096 0.338
0.006 0.258 0.011
0.670 0.579 0.339
0.331 0.904 0.662
0.330 0.421 0.661
0.994 0.742 0.989
0.500 0.000 0.000
```

## Properties
Raw formation energy ... -0.94 eV per atom
V ... 692 Å³/f.u.
DOS(E_F) ... 8.7 states/eV/f.u.
Total moment ... 1.0 μB/cell

No. 5
VASP calculation (PBE) on BaHf2Cu after structural relaxation.

Structure (POSCAR):
```
BaHf2Cu
1.0
5.524 0.000 0.000
0.000 5.524 0.000
2.762 2.762 8.940
Hf Ba Cu
4 2 2
Direct
0.375 0.625 0.250
0.375 0.625 0.750
0.875 0.625 0.750
0.375 0.125 0.250
0.000 0.000 0.000
0.750 0.250 0.500
0.250 0.750 0.500
0.500 0.500 0.000
```

## Properties
E_form ... 366.1 kJ/mol of formula units
Offset from the most stable computed form ... 0.438 eV/f.u.
V ... 136 Å³/f.u.
DOS(E_F) ... 5.8 states/eV/f.u.
Total moment ... 0.0 μB/cell

No. 6
VASP calculation (PBE) on SrZrPt2 after structural relaxation.

Structure (POSCAR):
```
SrZrPt2
1.0
4.076 0.000 0.000
0.000 4.076 0.000
0.000 0.000 5.759
Pt Sr Zr
2 1 1
Direct
0.500 0.500 0.374
0.000 0.000 0.876
0.000 0.000 0.376
0.500 0.500 0.874
```

## Properties
E_form ... -198.2 kJ/mol of formula units
Offset from the most stable computed form ... 1.590 eV/f.u.
V ... 96 Å³/f.u.
DOS(E_F) ... 2.6 states/eV/f.u.
Total moment ... 0.0 μB/cell

No. 7
VASP calculation (PBE) on CeH8Rh2Pb after structural relaxation.

Structure (POSCAR):
```
CeH8Rh2Pb
1.0
-1.337 -0.819 -4.774
1.528 -4.166 -2.358
-4.650 -4.403 -0.588
H Rh Pb Ce
8 2 1 1
Direct
0.184 0.184 0.448
0.892 0.471 0.166
0.471 0.892 0.166
0.816 0.816 0.552
0.471 0.471 0.166
0.108 0.529 0.834
0.529 0.108 0.834
0.529 0.529 0.834
0.279 0.279 0.163
0.721 0.721 0.837
0.000 0.000 0.000
0.500 0.500 0.500
```

## Properties
V ... 126 Å³/f.u.
DOS(E_F) ... 7.6 states/eV/f.u.
Electronic total energy ... -4.312 eV per atom
Total moment ... 1.1 μB/cell

No. 8
VASP calculation (PBE) on SrMoPt4 after structural relaxation.

Structure (POSCAR):
```
SrMoPt4
1.0
0.000 3.829 3.829
3.829 0.000 3.829
3.829 3.829 0.000
Mo Pt Sr
1 4 1
Direct
0.000 0.000 0.000
0.374 0.877 0.374
0.877 0.374 0.374
0.374 0.374 0.877
0.374 0.374 0.374
0.750 0.750 0.750
```

## Properties
E_form ... -68.4 kJ/mol of formula units
V ... 112 Å³/f.u.
DOS(E_F) ... 6.3 states/eV/f.u.
Total moment ... 3.1 μB/cell

No. 9
VASP calculation (PBE) on PaAlRu after structural relaxation.

Structure (POSCAR):
```
PaAlRu
1.0
-1.663 3.148 -2.095
-1.984 -4.361 -4.978
-10.375 -1.702 5.680
Ru Pa Al
6 6 6
Direct
0.750 0.746 0.581
0.250 0.751 0.250
0.750 0.247 0.086
0.250 0.254 0.419
0.250 0.753 0.914
0.750 0.249 0.750
0.750 0.661 0.083
0.750 0.043 0.287
0.250 0.957 0.713
0.750 0.537 0.373
0.250 0.463 0.627
0.250 0.339 0.917
0.250 0.370 0.198
0.750 0.997 0.916
0.250 0.003 0.084
0.750 0.132 0.540
0.750 0.630 0.802
0.250 0.868 0.460
```

## Properties
E_form ... -179.4 kJ/mol of formula units
V ... 57 Å³/f.u.
DOS(E_F) ... 2.8 states/eV/f.u.
Total moment ... 0.0 μB/cell

No. 10
VASP calculation (PBE) on Cr3P2 after structural relaxation.

Structure (POSCAR):
```
Cr3P2
1.0
2.894 0.000 0.000
0.000 9.357 0.000
0.000 0.000 8.739
Cr P
12 8
Direct
0.250 0.547 0.869
0.750 0.453 0.131
0.250 0.236 0.225
0.750 0.764 0.775
0.250 0.630 0.557
0.250 0.264 0.725
0.750 0.130 0.943
0.750 0.047 0.631
0.250 0.870 0.057
0.250 0.953 0.369
0.750 0.370 0.443
0.750 0.736 0.275
0.250 0.532 0.316
0.750 0.468 0.684
0.250 0.968 0.816
0.250 0.176 0.474
0.750 0.032 0.184
0.250 0.324 0.974
0.750 0.824 0.526
0.750 0.676 0.026
```

## Properties
E_form ... -217.8 kJ/mol of formula units
V ... 59 Å³/f.u.
DOS(E_F) ... 4.6 states/eV/f.u.
Total moment ... 0.2 μB/cell

No. 11
VASP calculation (PBE) on SiHg2F5 after structural relaxation.

Structure (POSCAR):
```
SiHg2F5
1.0
4.715 -0.094 2.429
2.229 5.784 1.149
-0.042 -0.048 5.889
F Si Hg
5 1 2
Direct
0.276 0.108 0.001
0.792 0.280 0.000
0.059 0.959 0.726
0.273 0.731 0.000
0.783 0.959 0.273
0.037 0.007 0.000
0.720 0.478 0.562
0.283 0.478 0.437
```

## Properties
Raw formation energy ... -2.29 eV per atom
Offset from the most stable computed form ... 0.000 eV/f.u.
V ... 162 Å³/f.u.
DOS(E_F) ... 0.9 states/eV/f.u.
Total moment ... 0.0 μB/cell

No. 12
VASP calculation (PBE) on Ac2Zn3InPd4 after structural relaxation.

Structure (POSCAR):
```
Ac2Zn3InPd4
1.0
-0.503 -2.877 -3.382
4.055 -1.685 0.830
-4.369 -7.182 6.759
Zn Pd In Ac
3 4 1 2
Direct
0.000 0.000 0.500
0.000 0.500 0.119
0.500 0.000 0.881
0.500 0.000 0.644
0.000 0.500 0.356
0.000 0.000 0.000
0.500 0.500 0.000
0.500 0.500 0.500
0.500 0.000 0.234
0.000 0.500 0.766
```

## Properties
E_form ... -630.1 kJ/mol of formula units
V ... 215 Å³/f.u.
DOS(E_F) ... 5.3 states/eV/f.u.
Total moment ... 0.0 μB/cell

No. 13
VASP calculation (PBE) on CeTlAg after structural relaxation.

Structure (POSCAR):
```
CeTlAg
1.0
-2.382 -0.506 4.265
-4.209 -2.525 0.178
-0.146 -4.375 2.227
Tl Ag Ce
1 1 1
Direct
0.500 0.500 0.500
0.250 0.250 0.250
0.000 0.000 0.000
```

## Properties
E_form ... -29.4 kJ/mol of formula units
V ... 84 Å³/f.u.
DOS(E_F) ... 7.3 states/eV/f.u.
Total moment ... 0.4 μB/cell

No. 14
VASP calculation (PBE) on Cd5InSn after structural relaxation.

Structure (POSCAR):
```
Cd5InSn
1.0
-5.742 0.595 0.703
0.571 -5.478 -1.866
2.616 -1.675 10.387
Cd Sn In
10 2 2
Direct
0.698 0.802 0.750
0.890 0.388 0.349
0.411 0.716 0.949
0.110 0.612 0.651
0.784 0.089 0.551
0.112 0.610 0.151
0.216 0.911 0.449
0.302 0.198 0.250
0.888 0.390 0.849
0.589 0.284 0.051
0.328 0.172 0.750
0.672 0.828 0.250
0.500 0.500 0.500
0.000 0.000 0.000
```

## Properties
E_form ... 42.7 kJ/mol of formula units
V ... 174 Å³/f.u.
DOS(E_F) ... 2.3 states/eV/f.u.
Total moment ... 0.0 μB/cell

No. 15
VASP calculation (PBE) on SrCd2HgPd after structural relaxation.

Structure (POSCAR):
```
SrCd2HgPd
1.0
-4.286 -2.953 0.804
-0.305 -0.965 -5.168
3.280 -4.581 0.662
Cd Hg Sr Pd
2 1 1 1
Direct
0.500 0.000 0.000
0.000 0.500 0.000
0.500 0.500 0.500
0.000 0.000 0.500
0.000 0.000 0.000
```

## Properties
E_form ... -120.0 kJ/mol of formula units
Offset from the most stable computed form ... 0.047 eV/f.u.
V ... 157 Å³/f.u.
DOS(E_F) ... 2.0 states/eV/f.u.
Total moment ... 0.0 μB/cell

No. 16
VASP calculation (PBE) on TiSi3H after structural relaxation.

Structure (POSCAR):
```
TiSi3H
1.0
-0.338 -1.862 4.398
1.789 -4.137 -1.614
4.428 1.530 0.988
Ti Si H
1 3 1
Direct
0.000 0.000 0.000
0.000 0.000 0.500
0.500 0.000 0.000
0.000 0.500 0.000
0.500 0.500 0.500
```

## Properties
Offset from the most stable computed form ... 4.342 eV/f.u.
V ... 110 Å³/f.u.
DOS(E_F) ... 2.0 states/eV/f.u.
Total moment ... 1.0 μB/cell

No. 17
VASP calculation (PBE) on Sc2Zn2Ir after structural relaxation.

Structure (POSCAR):
```
Sc2Zn2Ir
1.0
6.774 0.000 0.000
0.000 6.774 0.000
0.000 0.000 3.806
Zn Sc Ir
4 4 2
Direct
0.126 0.374 0.000
0.374 0.874 0.000
0.626 0.126 0.000
0.874 0.626 0.000
0.182 0.682 0.500
0.682 0.818 0.500
0.318 0.182 0.500
0.818 0.318 0.500
0.500 0.500 0.000
0.000 0.000 0.000
```

## Properties
E_form ... -193.7 kJ/mol of formula units
Offset from the most stable computed form ... 0.694 eV/f.u.
V ... 87 Å³/f.u.
DOS(E_F) ... 4.7 states/eV/f.u.
Total moment ... 0.0 μB/cell

No. 18
VASP calculation (PBE) on K4TlCl5 after structural relaxation.

Structure (POSCAR):
```
K4TlCl5
1.0
4.445 0.000 -0.858
-0.330 6.164 -1.711
0.009 0.002 11.995
K Tl Cl
4 1 5
Direct
0.400 0.400 0.800
0.600 0.600 0.200
0.799 0.799 0.597
0.201 0.201 0.403
0.000 0.000 0.000
0.397 0.897 0.794
0.801 0.301 0.601
0.603 0.103 0.206
0.199 0.699 0.399
0.000 0.500 0.000
```

## Properties
Raw formation energy ... -1.77 eV per atom
V ... 329 Å³/f.u.
DOS(E_F) ... 0.0 states/eV/f.u.
Total moment ... 0.0 μB/cell

No. 19
VASP calculation (PBE) on TaTiH2 after structural relaxation.

Structure (POSCAR):
```
TaTiH2
1.0
3.006 0.000 0.000
1.503 2.603 0.000
1.503 0.868 4.904
Ti H Ta
1 2 1
Direct
0.000 0.000 0.000
0.749 0.749 0.753
0.251 0.251 0.247
0.500 0.500 0.500
```

## Properties
Offset from the most stable computed form ... 0.320 eV/f.u.
V ... 38 Å³/f.u.
DOS(E_F) ... 2.8 states/eV/f.u.
Total moment ... 0.0 μB/cell

No. 20
VASP calculation (PBE) on Cr3Hg5Au12 after structural relaxation.

Structure (POSCAR):
```
Cr3Hg5Au12
1.0
13.829 0.000 0.000
-4.610 13.039 0.000
-4.610 -6.519 11.292
Cr Hg Au
12 20 48
Direct
0.750 0.875 0.625
0.875 0.125 0.250
0.375 0.625 0.250
0.750 0.375 0.125
0.625 0.250 0.375
0.875 0.750 0.125
0.375 0.750 0.625
0.125 0.875 0.750
0.625 0.375 0.750
0.250 0.625 0.875
0.125 0.250 0.875
0.250 0.125 0.375
0.250 0.375 0.625
0.750 0.625 0.375
0.750 0.125 0.875
0.375 0.125 0.750
0.000 0.500 0.500
0.000 0.000 0.000
0.250 0.875 0.125
0.875 0.250 0.625
0.125 0.750 0.375
0.000 0.000 0.500
0.500 0.500 0.000
0.500 0.000 0.000
0.375 0.250 0.125
0.500 0.500 0.500
0.125 0.375 0.250
0.625 0.875 0.250
0.000 0.500 0.000
0.875 0.625 0.750
0.500 0.000 0.500
0.625 0.750 0.875
0.426 0.658 0.075
0.075 0.158 0.426
0.925 0.082 0.851
0.074 0.425 0.842
0.426 0.768 0.851
0.074 0.649 0.732
0.732 0.149 0.074
0.082 0.158 0.232
0.425 0.351 0.582
0.075 0.918 0.149
0.925 0.842 0.574
0.342 0.574 0.425
0.342 0.768 0.418
0.649 0.074 0.232
0.232 0.574 0.649
0.082 0.925 0.351
0.575 0.926 0.658
0.351 0.425 0.082
0.575 0.649 0.418
0.158 0.075 0.926
0.418 0.268 0.342
0.232 0.658 0.082
0.649 0.575 0.918
0.574 0.232 0.149
0.851 0.582 0.925
0.149 0.732 0.574
0.658 0.426 0.575
0.768 0.342 0.918
0.582 0.732 0.658
0.158 0.082 0.732
0.842 0.918 0.268
0.582 0.851 0.425
0.425 0.074 0.342
0.926 0.575 0.158
0.851 0.268 0.426
0.918 0.075 0.649
0.268 0.851 0.926
0.768 0.426 0.351
0.918 0.842 0.768
0.574 0.342 0.925
0.842 0.925 0.074
0.418 0.149 0.575
0.351 0.926 0.768
0.658 0.232 0.582
0.926 0.351 0.268
0.149 0.418 0.075
0.268 0.418 0.842
0.732 0.582 0.158
```

## Properties
E_form ... 686.7 kJ/mol of formula units
V ... 509 Å³/f.u.
DOS(E_F) ... 7.8 states/eV/f.u.
Total moment ... 52.4 μB/cell